a:
A plane-wave DFT calculation with PBE was carried out for a relaxed structure of Tl2HgPd2.

Cell: 8.4472 8.4472 8.4472 Å, 153.41 153.41 37.95°
Closest atoms and distances in Å follow each position.
Atoms (fractional coordinates):
Tl 0.1179 0.1179 0.0000  4 Pd 2.87
Tl 0.8821 0.8821 0.0000  4 Pd 2.87
Hg 0.5000 0.5000 0.0000  8 Tl 3.33
Pd 0.2500 0.7500 0.5000  4 Pd 2.75, 4 Tl 2.87
Pd 0.7500 0.2500 0.5000  4 Pd 2.75, 4 Tl 2.87

Computed properties:
- Density: 11326 kg/m3
- Space-group type: I4/mmm
- D(E_F): 0.430 states/eV per atom
- Total magnetic moment: 0.000 μB/atom

=====

b:
A plane-wave DFT calculation with PBE was carried out for a relaxed structure of Tl2HgPd2.

Cell: 5.5645 5.5645 5.5645 Å, 131.50 116.82 83.47°
Closest atoms and distances in Å follow each position.
Atoms (fractional coordinates):
Tl 0.1948 0.1948 0.0000  6 Pd 2.97-3.11, 1 Tl 3.23
Tl 0.8052 0.8052 0.0000  6 Pd 2.97-3.11, 1 Tl 3.23
Hg 0.5000 0.0000 0.5000  4 Pd 2.76
Pd 0.2339 0.5000 0.7339  1 Pd 2.73, 2 Hg 2.76, 2 Tl 2.97
Pd 0.7661 0.5000 0.2661  1 Pd 2.73, 2 Hg 2.76, 2 Tl 2.97

Computed properties:
- Density: 12338 kg/m3
- Space-group type: Immm
- D(E_F): 0.392 states/eV per atom
- Total magnetic moment: 0.000 μB/atom

=====

Most stable: b

=====

a:
A plane-wave DFT calculation with PBE was carried out for a relaxed structure of TlHg3Pd6.

Cell: 7.8560 4.7708 10.1699 Å, 90.00 111.36 90.00°
Closest atoms and distances in Å follow each position.
Atoms (fractional coordinates):
Tl 0.0646 0.2500 0.3754  10 Pd 2.79-3.08, 1 Hg 3.12
Tl 0.9354 0.7500 0.6246  10 Pd 2.79-3.08, 1 Hg 3.12
Hg 0.2427 0.2500 0.9793  9 Pd 2.80-2.97, 1 Hg 3.12
Hg 0.3493 0.7500 0.8153  8 Pd 2.82-2.96, 1 Tl 3.12, 1 Hg 3.12
Hg 0.4754 0.2500 0.5955  9 Pd 2.80-3.01
Hg 0.5246 0.7500 0.4045  9 Pd 2.80-3.01
Hg 0.6507 0.2500 0.1847  8 Pd 2.82-2.96, 1 Tl 3.12, 1 Hg 3.12
Hg 0.7573 0.7500 0.0207  9 Pd 2.80-2.97, 1 Hg 3.12
Pd 0.0423 0.7500 0.9178  1 Tl 2.79, 4 Hg 2.80-2.96, 7 Pd 2.82-3.12
Pd 0.1404 0.7500 0.2139  8 Pd 2.82-2.95, 2 Hg 2.93, 2 Tl 3.08
Pd 0.1576 0.2500 0.6749  3 Tl 2.86-2.89, 4 Hg 2.89-2.92, 5 Pd 2.95-3.14
Pd 0.2377 0.7500 0.5181  4 Hg 2.82-2.95, 3 Tl 2.86-2.95, 5 Pd 2.90-3.11
Pd 0.3547 0.2500 0.2790  1 Tl 2.79, 5 Hg 2.80-3.01, 4 Pd 2.86-3.11
Pd 0.4372 0.7500 0.1105  7 Hg 2.81-2.97, 5 Pd 2.89-3.14
Pd 0.5628 0.2500 0.8895  7 Hg 2.81-2.97, 5 Pd 2.89-3.14
Pd 0.6453 0.7500 0.7210  1 Tl 2.79, 5 Hg 2.80-3.01, 4 Pd 2.86-3.11
Pd 0.7623 0.2500 0.4819  4 Hg 2.82-2.95, 3 Tl 2.86-2.95, 5 Pd 2.90-3.11
Pd 0.8424 0.7500 0.3251  3 Tl 2.86-2.89, 4 Hg 2.89-2.92, 5 Pd 2.95-3.14
Pd 0.8596 0.2500 0.7861  8 Pd 2.82-2.95, 2 Hg 2.93, 2 Tl 3.08
Pd 0.9577 0.2500 0.0822  1 Tl 2.79, 4 Hg 2.80-2.96, 7 Pd 2.82-3.12

Computed properties:
- Density: 13516 kg/m3
- Space-group type: P2_1/m
- D(E_F): 0.342 states/eV per atom
- Total magnetic moment: 0.000 μB/atom

=====

b:
A plane-wave DFT calculation with PBE was carried out for a relaxed structure of TlHg3Pd6.

Cell: 8.4041 8.4041 5.6315 Å, 90.00 90.00 107.11°
Closest atoms and distances in Å follow each position.
Atoms (fractional coordinates):
Tl 0.1826 0.8174 0.5000  8 Pd 2.79-3.08
Tl 0.8174 0.1826 0.0000  8 Pd 2.79-3.08
Hg 0.1416 0.2872 0.5195  7 Pd 2.74-2.90, 1 Hg 2.98
Hg 0.2872 0.1416 0.0195  7 Pd 2.74-2.90, 1 Hg 2.98
Hg 0.4091 0.5909 0.3701  6 Pd 2.83-3.16, 2 Hg 2.98, 1 Tl 3.15
Hg 0.5909 0.4091 0.8701  6 Pd 2.83-3.16, 2 Hg 2.98, 1 Tl 3.15
Hg 0.7128 0.8584 0.5195  7 Pd 2.74-2.90, 1 Hg 2.98
Hg 0.8584 0.7128 0.0195  7 Pd 2.74-2.90, 1 Hg 2.98
Pd 0.0044 0.9956 0.7617  4 Hg 2.74-2.75, 2 Pd 2.82, 2 Tl 2.82-2.86
Pd 0.0261 0.5033 0.2473  2 Hg 2.76-2.86, 6 Pd 2.77-2.99, 2 Tl 2.95-3.08
Pd 0.2170 0.7830 0.9883  2 Tl 2.79-2.92, 6 Pd 2.83-2.99, 2 Hg 2.90
Pd 0.2680 0.4611 0.9288  4 Pd 2.71-2.88, 4 Hg 2.77-2.89
Pd 0.4611 0.2680 0.4288  4 Pd 2.71-2.88, 4 Hg 2.77-2.89
Pd 0.4967 0.9739 0.2473  2 Hg 2.76-2.86, 6 Pd 2.77-2.99, 2 Tl 2.95-3.08
Pd 0.5033 0.0261 0.7473  2 Hg 2.76-2.86, 6 Pd 2.77-2.99, 2 Tl 2.95-3.08
Pd 0.5389 0.7320 0.9288  4 Pd 2.71-2.88, 4 Hg 2.77-2.89
Pd 0.7320 0.5389 0.4288  4 Pd 2.71-2.88, 4 Hg 2.77-2.89
Pd 0.7830 0.2170 0.4883  2 Tl 2.79-2.92, 6 Pd 2.83-2.99, 2 Hg 2.90
Pd 0.9739 0.4967 0.7473  2 Hg 2.76-2.86, 6 Pd 2.77-2.99, 2 Tl 2.95-3.08
Pd 0.9956 0.0044 0.2617  4 Hg 2.74-2.75, 2 Pd 2.82, 2 Tl 2.82-2.86

Computed properties:
- Density: 12622 kg/m3
- Space-group type: Cmc2_1
- D(E_F): 0.490 states/eV per atom
- Total magnetic moment: 0.000 μB/atom

=====

Most stable: a

=====

a:
A plane-wave DFT calculation with PBE was carried out for a relaxed structure of Tl2HgPd6.

Cell: 8.2397 8.2397 3.0049 Å, 99.76 99.76 56.22°
Closest atoms and distances in Å follow each position.
Atoms (fractional coordinates):
Tl 0.1666 0.1666 0.1666  8 Pd 2.80-2.84, 2 Tl 3.00
Tl 0.8334 0.8334 0.8334  8 Pd 2.80-2.84, 2 Tl 3.00
Hg 0.5000 0.5000 0.5000  8 Pd 2.80-2.84, 2 Hg 3.00
Pd 0.1435 0.5235 0.3341  1 Hg 2.80, 3 Tl 2.80-2.84, 7 Pd 2.94-3.00
Pd 0.1896 0.8104 0.0000  2 Tl 2.80, 2 Hg 2.84, 7 Pd 2.94-3.00
Pd 0.4765 0.8565 0.6659  1 Hg 2.80, 3 Tl 2.80-2.84, 7 Pd 2.94-3.00
Pd 0.5235 0.1435 0.3341  1 Hg 2.80, 3 Tl 2.80-2.84, 7 Pd 2.94-3.00
Pd 0.8104 0.1896 0.0000  2 Tl 2.80, 2 Hg 2.84, 7 Pd 2.94-3.00
Pd 0.8565 0.4765 0.6659  1 Hg 2.80, 3 Tl 2.80-2.84, 7 Pd 2.94-3.00

Computed properties:
- Density: 12452 kg/m3
- Space-group type: C2/m
- D(E_F): 0.475 states/eV per atom
- Total magnetic moment: 0.000 μB/atom

=====

b:
A plane-wave DFT calculation with PBE was carried out for a relaxed structure of Tl2HgPd6.

Cell: 7.8326 7.8326 3.0181 Å, 90.00 90.00 120.00°
Closest atoms and distances in Å follow each position.
Atoms (fractional coordinates):
Tl 0.3333 0.6667 0.0000  9 Pd 2.74-2.92, 2 Tl 3.02
Tl 0.6667 0.3333 0.0000  9 Pd 2.74-2.92, 2 Tl 3.02
Hg 0.0000 0.0000 0.5000  9 Pd 2.80-2.86, 2 Hg 3.02
Pd 0.0000 0.3013 0.0000  2 Tl 2.74, 2 Hg 2.80, 8 Pd 3.02-3.05
Pd 0.0000 0.6346 0.5000  1 Hg 2.86, 4 Tl 2.92, 8 Pd 3.02-3.05
Pd 0.3013 0.0000 0.0000  2 Tl 2.74, 2 Hg 2.80, 8 Pd 3.02-3.05
Pd 0.3654 0.3654 0.5000  1 Hg 2.86, 4 Tl 2.92, 8 Pd 3.02-3.05
Pd 0.6346 0.0000 0.5000  1 Hg 2.86, 4 Tl 2.92, 8 Pd 3.02-3.05
Pd 0.6987 0.6987 0.0000  2 Tl 2.74, 2 Hg 2.80, 8 Pd 3.02-3.05

Computed properties:
- Density: 12923 kg/m3
- Space-group type: P-62m
- D(E_F): 0.401 states/eV per atom
- Total magnetic moment: 0.000 μB/atom

=====

Most stable: b

=====

a:
A plane-wave DFT calculation with PBE was carried out for a relaxed structure of Tl2HgPd4.

Cell: 9.8902 9.8902 9.8902 Å, 156.71 156.71 33.18°
Closest atoms and distances in Å follow each position.
Atoms (fractional coordinates):
Tl 0.1355 0.1355 0.0000  8 Pd 2.83-2.95
Tl 0.8645 0.8645 0.0000  8 Pd 2.83-2.95
Hg 0.5000 0.5000 0.0000  2 Pd 2.70
Pd 0.2500 0.7500 0.5000  8 Pd 2.82-2.86, 4 Tl 2.95
Pd 0.3577 0.3577 0.0000  1 Hg 2.70, 4 Tl 2.83, 4 Pd 2.86
Pd 0.6423 0.6423 0.0000  1 Hg 2.70, 4 Tl 2.83, 4 Pd 2.86
Pd 0.7500 0.2500 0.5000  8 Pd 2.82-2.86, 4 Tl 2.95

Computed properties:
- Density: 11372 kg/m3
- Space-group type: I4/mmm
- D(E_F): 0.641 states/eV per atom
- Total magnetic moment: 0.000 μB/atom

=====

b:
A plane-wave DFT calculation with PBE was carried out for a relaxed structure of Tl2HgPd4.

Cell: 10.5665 4.5348 11.4087 Å, 90.00 90.00 90.00°
Closest atoms and distances in Å follow each position.
Atoms (fractional coordinates):
Tl 0.0970 0.2500 0.0850  7 Pd 2.82-3.00
Tl 0.0993 0.2500 0.5844  7 Pd 2.77-2.92
Tl 0.4007 0.7500 0.0844  7 Pd 2.77-2.92
Tl 0.4030 0.7500 0.5850  7 Pd 2.82-3.00
Tl 0.5970 0.2500 0.4150  7 Pd 2.82-3.00
Tl 0.5993 0.2500 0.9156  7 Pd 2.77-2.92
Tl 0.9007 0.7500 0.4156  7 Pd 2.77-2.92
Tl 0.9030 0.7500 0.9150  7 Pd 2.82-3.00
Hg 0.2177 0.7500 0.8345  8 Pd 2.75-3.04
Hg 0.2823 0.2500 0.3345  8 Pd 2.75-3.04
Hg 0.7177 0.7500 0.6655  8 Pd 2.75-3.04
Hg 0.7823 0.2500 0.1655  8 Pd 2.75-3.04
Pd 0.0145 0.2500 0.3232  3 Tl 2.77-2.85, 2 Hg 2.83-3.04, 4 Pd 3.06-3.10
Pd 0.0701 0.2500 0.8391  2 Pd 2.72-2.98, 2 Hg 2.75, 4 Tl 2.82-3.00
Pd 0.1712 0.7500 0.4595  2 Pd 2.75-3.06, 4 Tl 2.78-2.90, 2 Hg 2.92
Pd 0.1798 0.7500 0.2189  3 Pd 2.72-2.98, 3 Tl 2.79-2.87, 2 Hg 2.84
Pd 0.3202 0.2500 0.7189  3 Pd 2.72-2.98, 3 Tl 2.79-2.87, 2 Hg 2.84
Pd 0.3288 0.2500 0.9595  2 Pd 2.75-3.06, 4 Tl 2.78-2.90, 2 Hg 2.92
Pd 0.4299 0.7500 0.3391  2 Pd 2.72-2.98, 2 Hg 2.75, 4 Tl 2.82-3.00
Pd 0.4855 0.7500 0.8232  3 Tl 2.77-2.85, 2 Hg 2.83-3.04, 4 Pd 3.06-3.10
Pd 0.5145 0.2500 0.1768  3 Tl 2.77-2.85, 2 Hg 2.83-3.04, 4 Pd 3.06-3.10
Pd 0.5701 0.2500 0.6609  2 Pd 2.72-2.98, 2 Hg 2.75, 4 Tl 2.82-3.00
Pd 0.6712 0.7500 0.0405  2 Pd 2.75-3.06, 4 Tl 2.78-2.90, 2 Hg 2.92
Pd 0.6798 0.7500 0.2811  3 Pd 2.72-2.98, 3 Tl 2.79-2.87, 2 Hg 2.84
Pd 0.8202 0.2500 0.7811  3 Pd 2.72-2.98, 3 Tl 2.79-2.87, 2 Hg 2.84
Pd 0.8288 0.2500 0.5405  2 Pd 2.75-3.06, 4 Tl 2.78-2.90, 2 Hg 2.92
Pd 0.9299 0.7500 0.1609  2 Pd 2.72-2.98, 2 Hg 2.75, 4 Tl 2.82-3.00
Pd 0.9855 0.7500 0.6768  3 Tl 2.77-2.85, 2 Hg 2.83-3.04, 4 Pd 3.06-3.10

Computed properties:
- Density: 12576 kg/m3
- Space-group type: Pnma
- D(E_F): 0.519 states/eV per atom
- Total magnetic moment: 0.000 μB/atom

=====

Most stable: b

=====

a:
A plane-wave DFT calculation with PBE was carried out for a relaxed structure of TmHg2Pd3.

Cell: 4.4472 8.6091 6.0948 Å, 90.00 90.00 90.00°
Closest atoms and distances in Å follow each position.
Atoms (fractional coordinates):
Tm 0.0000 0.1262 0.0000  7 Pd 2.83-3.01, 1 Hg 3.12
Tm 0.0000 0.8738 0.5000  7 Pd 2.83-3.01, 1 Hg 3.12
Hg 0.0000 0.2425 0.5145  6 Pd 2.77-2.92
Hg 0.0000 0.7575 0.0145  6 Pd 2.77-2.92
Hg 0.5000 0.4146 0.8383  7 Pd 2.84-3.12
Hg 0.5000 0.5854 0.3383  7 Pd 2.84-3.12
Pd 0.0000 0.4420 0.1268  6 Hg 2.80-2.92, 1 Tm 2.83, 2 Pd 2.87
Pd 0.0000 0.5580 0.6268  6 Hg 2.80-2.92, 1 Tm 2.83, 2 Pd 2.87
Pd 0.5000 0.0702 0.6772  2 Pd 2.77-3.06, 2 Hg 2.85, 4 Tm 2.99-3.01
Pd 0.5000 0.2483 0.2435  4 Hg 2.77-2.96, 4 Pd 2.77-3.06, 2 Tm 2.87
Pd 0.5000 0.7517 0.7435  4 Hg 2.77-2.96, 4 Pd 2.77-3.06, 2 Tm 2.87
Pd 0.5000 0.9298 0.1772  2 Pd 2.77-3.06, 2 Hg 2.85, 4 Tm 2.99-3.01

Computed properties:
- Density: 12658 kg/m3
- Space-group type: Pmc2_1
- D(E_F): 0.280 states/eV per atom
- Total magnetic moment: 0.000 μB/atom

=====

b:
A plane-wave DFT calculation with PBE was carried out for a relaxed structure of TmHg2Pd3.

Cell: 6.9254 6.9254 3.8827 Å, 90.00 90.00 143.29°
Closest atoms and distances in Å follow each position.
Atoms (fractional coordinates):
Tm 0.0000 0.0000 0.0000  8 Pd 2.91-2.92, 4 Hg 3.09
Hg 0.3333 0.6667 0.0000  8 Pd 2.92-2.95, 2 Hg 3.09, 2 Tm 3.09
Hg 0.6667 0.3333 0.0000  8 Pd 2.92-2.95, 2 Hg 3.09, 2 Tm 3.09
Pd 0.1645 0.8355 0.5000  2 Tm 2.91, 6 Hg 2.92-2.95, 4 Pd 3.07-3.13
Pd 0.5000 0.5000 0.5000  4 Tm 2.92, 4 Hg 2.93, 4 Pd 3.07
Pd 0.8355 0.1645 0.5000  2 Tm 2.91, 6 Hg 2.92-2.95, 4 Pd 3.07-3.13

Computed properties:
- Density: 13267 kg/m3
- Space-group type: Cmmm
- D(E_F): 0.388 states/eV per atom
- Total magnetic moment: 0.000 μB/atom

=====

Most stable: b

=====

a:
A plane-wave DFT calculation with PBE was carried out for a relaxed structure of Tm12HgPd6.

Cell: 8.3501 8.3501 8.3501 Å, 103.27 103.27 103.27°
Closest atoms and distances in Å follow each position.
Atoms (fractional coordinates):
Tm 0.0685 0.3302 0.9255  2 Pd 2.71-2.77, 1 Hg 2.92
Tm 0.0745 0.9315 0.6698  2 Pd 2.71-2.77, 1 Hg 2.92
Tm 0.1690 0.5547 0.4119  4 Pd 2.85-3.03
Tm 0.3302 0.9255 0.0685  2 Pd 2.71-2.77, 1 Hg 2.92
Tm 0.4119 0.1690 0.5547  4 Pd 2.85-3.03
Tm 0.4453 0.5881 0.8310  4 Pd 2.85-3.03
Tm 0.5547 0.4120 0.1690  4 Pd 2.85-3.03
Tm 0.5881 0.8310 0.4453  4 Pd 2.85-3.03
Tm 0.6698 0.0745 0.9315  2 Pd 2.71-2.77, 1 Hg 2.92
Tm 0.8310 0.4453 0.5881  4 Pd 2.85-3.03
Tm 0.9255 0.0685 0.3302  2 Pd 2.71-2.77, 1 Hg 2.92
Tm 0.9315 0.6698 0.0745  2 Pd 2.71-2.77, 1 Hg 2.92
Hg 0.0000 0.0000 0.0000  6 Tm 2.92
Pd 0.1446 0.3162 0.6178  6 Tm 2.71-3.03
Pd 0.3162 0.6178 0.1446  6 Tm 2.71-3.03
Pd 0.3822 0.8554 0.6838  6 Tm 2.71-3.03
Pd 0.6178 0.1446 0.3162  6 Tm 2.71-3.03
Pd 0.6838 0.3822 0.8554  6 Tm 2.71-3.03
Pd 0.8554 0.6838 0.3822  6 Tm 2.71-3.03

Computed properties:
- Density: 9040 kg/m3
- Space-group type: R-3
- D(E_F): 0.901 states/eV per atom
- Total magnetic moment: 0.000 μB/atom

=====

b:
A plane-wave DFT calculation with PBE was carried out for a relaxed structure of Tm12HgPd6.

Cell: 8.4734 8.4734 8.4734 Å, 109.47 109.47 109.47°
Closest atoms and distances in Å follow each position.
Atoms (fractional coordinates):
Tm 0.1115 0.8176 0.2938  1 Pd 2.67
Tm 0.1824 0.2938 0.4762  1 Pd 2.67
Tm 0.1824 0.7062 0.8885  1 Pd 2.67
Tm 0.2938 0.1115 0.8176  1 Pd 2.67
Tm 0.2938 0.4762 0.1824  1 Pd 2.67
Tm 0.4762 0.1824 0.2938  1 Pd 2.67
Tm 0.5238 0.8176 0.7062  1 Pd 2.67
Tm 0.7062 0.5238 0.8176  1 Pd 2.67
Tm 0.7062 0.8885 0.1824  1 Pd 2.67
Tm 0.8176 0.2938 0.1115  1 Pd 2.67
Tm 0.8176 0.7062 0.5238  1 Pd 2.67
Tm 0.8885 0.1824 0.7062  1 Pd 2.67
Hg 0.0000 0.0000 0.0000  12 Tm 3.38
Pd 0.1386 0.6386 0.5000  2 Tm 2.67, 1 Pd 2.71
Pd 0.3614 0.5000 0.8614  2 Tm 2.67, 1 Pd 2.71
Pd 0.5000 0.1386 0.6386  2 Tm 2.67, 1 Pd 2.71
Pd 0.5000 0.8614 0.3614  2 Tm 2.67, 1 Pd 2.71
Pd 0.6386 0.5000 0.1386  2 Tm 2.67, 1 Pd 2.71
Pd 0.8614 0.3614 0.5000  2 Tm 2.67, 1 Pd 2.71

Computed properties:
- Density: 10163 kg/m3
- Space-group type: Im-3
- D(E_F): 1.209 states/eV per atom
- Total magnetic moment: 0.000 μB/atom

=====

Most stable: b